Entry 1:
VAsP2O | PBE+U | optimized geometry

Calculated values
- relative energy among the computed polymorphs (eV/atom) = 0.632
- symmetry = No. 123
- DOS at the Fermi energy (states/eV per atom) = 0.82
- total energy (eV/atom) = -4.885

Lattice parameters (Å, degrees): 4.800 4.800 3.580 90.00 90.00 90.00
Positions (direct):
V: 0.000 0.000 0.000
As: 0.500 0.500 0.500
P: 0.000 0.500 0.500
P: 0.500 0.000 0.500
O: 0.500 0.500 0.000

***

Entry 2:
VAsP2O | PBE+U | optimized geometry

Calculated values
- relative energy among the computed polymorphs (eV/atom) = 0.000
- symmetry = No. 123
- DOS at the Fermi energy (states/eV per atom) = 0.38
- total energy (eV/atom) = -5.516

Lattice parameters (Å, degrees): 4.763 4.763 3.580 90.00 90.00 90.00
Positions (direct):
V: 0.000 0.000 0.000
As: 0.500 0.500 0.500
P: 0.000 0.500 0.000
P: 0.500 0.000 0.000
O: 0.000 0.000 0.500

***

Entry 3:
VAsPO2 | PBE+U | optimized geometry

Calculated values
- relative energy among the computed polymorphs (eV/atom) = 0.000
- symmetry = No. 123
- DOS at the Fermi energy (states/eV per atom) = 0.54
- total energy (eV/atom) = -6.089

Lattice parameters (Å, degrees): 3.682 3.682 5.375 90.00 90.00 90.00
Positions (direct):
V: 0.000 0.000 0.000
As: 0.500 0.500 0.500
P: 0.000 0.000 0.500
O: 0.000 0.500 0.000
O: 0.500 0.000 0.000

***

Entry 4:
VAsPO2 | PBE+U | optimized geometry

Calculated values
- relative energy among the computed polymorphs (eV/atom) = 0.431
- symmetry = No. 123
- DOS at the Fermi energy (states/eV per atom) = 0.29
- total energy (eV/atom) = -5.658

Lattice parameters (Å, degrees): 3.749 3.749 4.965 90.00 90.00 90.00
Positions (direct):
V: 0.000 0.000 0.000
As: 0.500 0.500 0.500
P: 0.500 0.500 0.000
O: 0.000 0.500 0.500
O: 0.500 0.000 0.500

***

Entry 5:
AsPWO2 | PBE+U | optimized geometry

Calculated values
- relative energy among the computed polymorphs (eV/atom) = 0.000
- symmetry = No. 123
- DOS at the Fermi energy (states/eV per atom) = 0.22
- total energy (eV/atom) = -6.109

Lattice parameters (Å, degrees): 3.845 3.845 5.489 90.00 90.00 90.00
Positions (direct):
As: 0.000 0.000 0.000
P: 0.500 0.500 0.000
W: 0.500 0.500 0.500
O: 0.000 0.500 0.500
O: 0.500 0.000 0.500

***

Entry 6:
AsPWO2 | PBE+U | optimized geometry

Calculated values
- relative energy among the computed polymorphs (eV/atom) = 0.716
- symmetry = No. 123
- DOS at the Fermi energy (states/eV per atom) = 0.15
- total energy (eV/atom) = -5.393

Lattice parameters (Å, degrees): 3.747 3.747 5.206 90.00 90.00 90.00
Positions (direct):
As: 0.000 0.000 0.000
P: 0.000 0.000 0.500
W: 0.500 0.500 0.500
O: 0.000 0.500 0.000
O: 0.500 0.000 0.000

***

Entry 7:
AsP2WO | PBE+U | optimized geometry

Calculated values
- relative energy among the computed polymorphs (eV/atom) = 0.509
- symmetry = No. 123
- DOS at the Fermi energy (states/eV per atom) = 0.32
- total energy (eV/atom) = -4.959

Lattice parameters (Å, degrees): 4.763 4.763 3.634 90.00 90.00 90.00
Positions (direct):
As: 0.000 0.000 0.000
P: 0.000 0.500 0.000
P: 0.500 0.000 0.000
W: 0.500 0.500 0.500
O: 0.000 0.000 0.500

***

Entry 8:
AsP2WO | PBE+U | optimized geometry

Calculated values
- relative energy among the computed polymorphs (eV/atom) = 0.000
- symmetry = No. 123
- DOS at the Fermi energy (states/eV per atom) = 0.38
- total energy (eV/atom) = -5.468

Lattice parameters (Å, degrees): 4.923 4.923 3.785 90.00 90.00 90.00
Positions (direct):
As: 0.000 0.000 0.000
P: 0.000 0.500 0.500
P: 0.500 0.000 0.500
W: 0.500 0.500 0.500
O: 0.500 0.500 0.000

***

- Number 1 is which compound?
  VAsP2O